Record 1
Density functional theory data (GGA-PBE) for Tb4SmEr2Tm after structural relaxation.

Properties
Fermi-level density of states: 10.8 states/eV/cell
DFT formation energy: 0.019 eV per atom

a = 5.0099 Å, b = 5.0099 Å, c = 10.0300 Å
α = 90.00°, β = 90.00°, γ = 90.00°
Space group P4/mmm (No. 123)
Inequivalent atoms, fractional coordinates:
Tb (0.0000, 0.5000, 0.2478) x4
Sm (0.0000, 0.0000, 0.5000) x1
Er (0.0000, 0.0000, 0.0000) x1
Er (0.5000, 0.5000, 0.5000) x1
Tm (0.5000, 0.5000, 0.0000) x1


Record 2
Density functional theory data (GGA-PBE) for Tb2Sm2ErTm4 after structural relaxation.

Properties
Fermi-level density of states: 24.5 states/eV/cell
DFT formation energy: -0.002 eV per atom

a = 18.5193 Å, b = 3.5665 Å, c = 9.4801 Å
α = 90.00°, β = 115.77°, γ = 90.00°
Space group C2/m (No. 12)
Inequivalent atoms, fractional coordinates:
Tb (0.1472, 0.0000, 0.1629) x4
Sm (0.1655, 0.5000, 0.5007) x4
Er (0.0000, 0.0000, 0.5000) x2
Tm (0.0194, 0.5000, 0.8341) x4
Tm (0.1851, 0.0000, 0.8360) x4


Record 3
Density functional theory data (GGA-PBE) for Tb6Sm2YEr3 after structural relaxation.

Properties
Fermi-level density of states: 31.2 states/eV/cell
DFT formation energy: 0.017 eV per atom

a = 6.1674 Å, b = 10.6722 Å, c = 11.7972 Å
α = 90.00°, β = 99.97°, γ = 90.00°
Space group C2/m (No. 12)
Inequivalent atoms, fractional coordinates:
Tb (0.2483, 0.1668, 0.2470) x8
Tb (0.2485, 0.5000, 0.2468) x4
Sm (0.0000, 0.1666, 0.5000) x4
Y (0.0000, 0.5000, 0.5000) x2
Er (0.0000, 0.0000, 0.0000) x2
Er (0.0000, 0.3335, 0.0000) x4


Record 4
Density functional theory data (GGA-PBE) for TbSm2Y6Er after structural relaxation.

Properties
Fermi-level density of states: 57.7 states/eV/cell
DFT formation energy: 0.114 eV per atom

a = 9.0777 Å, b = 15.0380 Å, c = 9.7174 Å
α = 90.00°, β = 99.25°, γ = 90.00°
Space group C2/c (No. 15)
Inequivalent atoms, fractional coordinates:
Tb (0.0000, 0.0199, 0.2500) x4
Sm (0.2456, 0.0505, 0.5447) x8
Y (0.0642, 0.1877, 0.9433) x8
Y (0.1015, 0.3950, 0.1183) x8
Y (0.2044, 0.2221, 0.3142) x8
Er (0.0000, 0.4074, 0.7500) x4


Record 5
Density functional theory data (GGA-PBE) for Tb2SmYEr5 after structural relaxation.

Properties
Fermi-level density of states: 45.5 states/eV/cell
DFT formation energy: 0.288 eV per atom

a = 8.8236 Å, b = 8.8236 Å, c = 14.7989 Å
α = 90.00°, β = 90.00°, γ = 90.00°
Space group I4/mcm (No. 140)
Inequivalent atoms, fractional coordinates:
Tb (0.1136, 0.3864, 0.0000) x8
Sm (0.0000, 0.0000, 0.2500) x4
Y (0.0000, 0.5000, 0.2500) x4
Er (0.0000, 0.0000, 0.0000) x4
Er (0.2068, 0.2932, 0.3665) x16


Record 6
Density functional theory data (GGA-PBE) for TbSmYEr2 after structural relaxation.

Properties
Fermi-level density of states: 29.7 states/eV/cell
DFT formation energy: 0.386 eV per atom

a = 8.3448 Å, b = 11.4514 Å, c = 7.1825 Å
α = 90.00°, β = 90.00°, γ = 90.00°
Space group Cmcm (No. 63)
Inequivalent atoms, fractional coordinates:
Tb (0.0000, 0.0118, 0.2500) x4
Sm (0.0000, 0.2802, 0.2500) x4
Y (0.0000, 0.2707, 0.7500) x4
Er (0.1893, 0.5000, 0.0000) x8


Record 7
Density functional theory data (GGA-PBE) for Tb2Sm6YEr3 after structural relaxation.

Properties
Fermi-level density of states: 28.8 states/eV/cell
DFT formation energy: 0.014 eV per atom

a = 6.2159 Å, b = 10.7615 Å, c = 11.8108 Å
α = 90.00°, β = 100.06°, γ = 90.00°
Space group C2/m (No. 12)
Inequivalent atoms, fractional coordinates:
Tb (0.0000, 0.1667, 0.0000) x4
Sm (0.2488, 0.1670, 0.7484) x8
Sm (0.2502, 0.0000, 0.2517) x4
Y (0.0000, 0.5000, 0.0000) x2
Er (0.0000, 0.0000, 0.5000) x2
Er (0.0000, 0.3334, 0.5000) x4


Record 8
Density functional theory data (GGA-PBE) for Tb2Sm6YEr after structural relaxation.

Properties
Fermi-level density of states: 54.1 states/eV/cell
DFT formation energy: 0.115 eV per atom

a = 9.1517 Å, b = 15.2986 Å, c = 9.6141 Å
α = 90.00°, β = 97.36°, γ = 90.00°
Space group C2/c (No. 15)
Inequivalent atoms, fractional coordinates:
Tb (0.2481, 0.0522, 0.4558) x8
Sm (0.0589, 0.3173, 0.9456) x8
Sm (0.1035, 0.1075, 0.1187) x8
Sm (0.2089, 0.2766, 0.3123) x8
Y (0.0000, 0.4756, 0.2500) x4
Er (0.0000, 0.0894, 0.7500) x4